Entry 1:
DFT (PBE) results for crystalline RbNbSb2Te at its relaxed geometry.

abc: 5.7302 5.7302 5.8927
angles: 90.00 90.00 90.00
Closest atoms and distances in Å follow each position.
Space group P4/mmm (No. 123)
Asymmetric unit:
Rb: 0.0000 0.0000 0.0000 [1 per cell]  4 Sb 2.87, 2 Te 2.95
Nb: 0.5000 0.5000 0.5000 [1 per cell]  4 Te 4.05, 8 Sb 4.11
Sb: 0.0000 0.5000 0.0000 [2 per cell]  2 Rb 2.87
Te: 0.0000 0.0000 0.5000 [1 per cell]  2 Rb 2.95

E_form (uncorrected): 10.16 eV per formula unit
Relative energy among the computed polymorphs: 10.79 eV per formula unit


Entry 2:
DFT (PBE) results for crystalline LiTc2SbPd at its relaxed geometry.

abc: 4.8398 4.8398 4.2699
angles: 90.00 90.00 90.00
Closest atoms and distances in Å follow each position.
Space group P4/mmm (No. 123)
Asymmetric unit:
Li: 0.0000 0.0000 0.0000 [1 per cell]  2 Pd 2.13
Tc: 0.0000 0.5000 0.5000 [2 per cell]  2 Pd 2.42
Sb: 0.5000 0.5000 0.0000 [1 per cell]  8 Tc 3.23, 4 Li 3.42
Pd: 0.0000 0.0000 0.5000 [1 per cell]  2 Li 2.13

E_form (uncorrected): 5.44 eV per formula unit


Entry 3:
DFT (PBE) results for crystalline BeSn3Ge at its relaxed geometry.

abc: 4.9255 4.9255 4.9255
angles: 90.00 90.00 90.00
Closest atoms and distances in Å follow each position.
Space group Pm-3m (No. 221)
Asymmetric unit:
Be: 0.0000 0.0000 0.0000 [1 per cell]  6 Sn 2.46
Sn: 0.0000 0.0000 0.5000 [3 per cell]  2 Be 2.46
Ge: 0.5000 0.5000 0.5000 [1 per cell]  12 Sn 3.48

Relative energy among the computed polymorphs: 0.00 eV per formula unit
DFT formation energy: 9.934 kcal/mol of atoms


Entry 4:
DFT (PBE) results for crystalline Dy6In2C at its relaxed geometry.

abc: 8.6728 8.6728 3.5837
angles: 90.00 90.00 120.00
Closest atoms and distances in Å follow each position.
Space group P-62m (No. 189)
Asymmetric unit:
Dy: 0.0000 0.4093 0.0000 [3 per cell]  4 In 3.18, 1 C 3.55
Dy: 0.0000 0.7853 0.5000 [3 per cell]  2 C 2.58
In: 0.3333 0.6667 0.5000 [2 per cell]  9 Dy 3.18-3.52
C: 0.0000 0.0000 0.0000 [1 per cell]  6 Dy 2.58

Relative energy among the computed polymorphs: 1.87 eV per formula unit
DFT formation energy: -4.574 kcal/mol of atoms


Entry 5:
DFT (PBE) results for crystalline MgPa2CrN4 at its relaxed geometry.

abc: 6.4867 6.5920 9.2245
angles: 90.00 90.00 90.00
Closest atoms and distances in Å follow each position.
Space group Imma (No. 74)
Asymmetric unit:
Mg: 0.2500 0.2500 0.2500 [4 per cell]  6 N 2.24-2.26
Pa: 0.0000 0.0000 0.0000 [4 per cell]  6 N 2.41-2.44
Pa: 0.2500 0.2500 0.7500 [4 per cell]  6 N 2.37-2.38
Cr: 0.0000 0.0000 0.5000 [4 per cell]  6 N 2.20
N: 0.0000 0.0126 0.2612 [8 per cell]  1 Cr 2.20, 2 Mg 2.26, 3 Pa 2.37-2.41
N: 0.2235 0.2500 0.4921 [8 per cell]  2 Cr 2.20, 1 Mg 2.24, 3 Pa 2.38-2.44

E_form (uncorrected): -8.21 eV per formula unit


Entry 6:
DFT (PBE) results for crystalline NaTl2SiSe at its relaxed geometry.

abc: 5.2934 5.2934 5.4171
angles: 90.00 90.00 90.00
Closest atoms and distances in Å follow each position.
Space group P4/mmm (No. 123)
Asymmetric unit:
Na: 0.0000 0.0000 0.0000 [1 per cell]  2 Si 2.71
Tl: 0.0000 0.5000 0.5000 [2 per cell]  2 Si 2.65
Si: 0.0000 0.0000 0.5000 [1 per cell]  4 Tl 2.65, 2 Na 2.71
Se: 0.5000 0.5000 0.0000 [1 per cell]  4 Na 3.74, 8 Tl 3.79

E_form (uncorrected): 0.92 eV per formula unit


Entry 7:
DFT (PBE) results for crystalline Rb2SrSnGe at its relaxed geometry.

abc: 6.5677 6.5677 6.1499
angles: 90.00 90.00 90.00
Closest atoms and distances in Å follow each position.
Space group P4/mmm (No. 123)
Asymmetric unit:
Rb: 0.0000 0.5000 0.0000 [2 per cell]  2 Ge 3.28
Sr: 0.0000 0.0000 0.5000 [1 per cell]  2 Ge 3.07
Sn: 0.5000 0.5000 0.5000 [1 per cell]  8 Rb 4.50, 4 Sr 4.64
Ge: 0.0000 0.0000 0.0000 [1 per cell]  2 Sr 3.07, 4 Rb 3.28

DFT formation energy: 6.477 kcal/mol of atoms


Entry 8:
DFT (PBE) results for crystalline Be2P at its relaxed geometry.

abc: 2.7508 2.7508 5.0138
angles: 90.00 90.00 120.00
Closest atoms and distances in Å follow each position.
Space group P-3m1 (No. 164)
Asymmetric unit:
Be: 0.3333 0.6667 0.3312 [2 per cell]  3 P 2.30, 3 Be 2.32
P: 0.0000 0.0000 0.0000 [1 per cell]  6 Be 2.30

Relative energy among the computed polymorphs: 1.60 eV per formula unit
DFT formation energy: 9.157 kcal/mol of atoms


Entry 9:
DFT (PBE) results for crystalline Mn4NbNi15 at its relaxed geometry.

abc: 3.5972 3.5972 17.9142
angles: 90.00 90.00 90.00
Closest atoms and distances in Å follow each position.
Space group P4/mmm (No. 123)
Asymmetric unit:
Mn: 0.0000 0.0000 0.0984 [2 per cell]  12 Ni 2.52-2.54
Mn: 0.0000 0.0000 0.2953 [2 per cell]  12 Ni 2.52-2.55
Nb: 0.0000 0.0000 0.5000 [1 per cell]  12 Ni 2.54-2.58
Ni: 0.0000 0.5000 0.0000 [2 per cell]  4 Mn 2.52, 8 Ni 2.52-2.54
Ni: 0.0000 0.5000 0.1965 [4 per cell]  8 Ni 2.51-2.54, 4 Mn 2.52
Ni: 0.0000 0.5000 0.3965 [4 per cell]  8 Ni 2.54-2.58, 2 Mn 2.55, 2 Nb 2.58
Ni: 0.5000 0.5000 0.0985 [2 per cell]  8 Ni 2.51-2.52, 4 Mn 2.54
Ni: 0.5000 0.5000 0.2959 [2 per cell]  8 Ni 2.53-2.55, 4 Mn 2.54
Ni: 0.5000 0.5000 0.5000 [1 per cell]  4 Nb 2.54, 8 Ni 2.58

DFT formation energy: -2.874 kcal/mol of atoms


Entry 10:
DFT (PBE) results for crystalline BaTaSCl2 at its relaxed geometry.

abc: 5.0035 5.0035 4.8193
angles: 90.00 90.00 90.00
Closest atoms and distances in Å follow each position.
Space group P4/mmm (No. 123)
Asymmetric unit:
Ba: 0.0000 0.0000 0.0000 [1 per cell]  8 Cl 3.47, 4 S 3.54
Ta: 0.5000 0.5000 0.5000 [1 per cell]  2 S 2.41, 4 Cl 2.50
S: 0.5000 0.5000 0.0000 [1 per cell]  2 Ta 2.41
Cl: 0.0000 0.5000 0.5000 [2 per cell]  2 Ta 2.50

E_form (uncorrected): -5.52 eV per formula unit
Relative energy among the computed polymorphs: 0.00 eV per formula unit


Entry 11:
DFT (PBE) results for crystalline Ni2MoW at its relaxed geometry.

abc: 3.7576 3.7576 7.5759
angles: 90.00 90.00 90.00
Closest atoms and distances in Å follow each position.
Space group I4/mmm (No. 139)
Asymmetric unit:
Ni: 0.0000 0.5000 0.2500 [4 per cell]  4 Ni 2.66, 4 W 2.67, 4 Mo 2.67
Mo: 0.0000 0.0000 0.0000 [2 per cell]  4 W 2.66, 8 Ni 2.67
W: 0.0000 0.0000 0.5000 [2 per cell]  4 Mo 2.66, 8 Ni 2.67

Relative energy among the computed polymorphs: 0.17 eV per formula unit
DFT formation energy: 0.784 kcal/mol of atoms


Entry 12:
DFT (PBE) results for crystalline VNiPd at its relaxed geometry.

abc: 8.4631 3.7163 5.2907
angles: 90.00 109.59 90.00
Closest atoms and distances in Å follow each position.
Space group C2/m (No. 12)
Asymmetric unit:
V: 0.0060 0.0000 0.2669 [4 per cell]  2 V 2.50-2.79, 5 Ni 2.52-2.67, 5 Pd 2.65-2.73
Ni: 0.1597 0.5000 0.5744 [4 per cell]  5 V 2.52-2.67, 3 Ni 2.55-2.69, 4 Pd 2.56-2.73
Pd: 0.1695 0.5000 0.0961 [4 per cell]  4 Ni 2.56-2.73, 5 V 2.65-2.73, 3 Pd 2.70

Relative energy among the computed polymorphs: 0.00 eV per formula unit
DFT formation energy: -5.377 kcal/mol of atoms


Entry 13:
DFT (PBE) results for crystalline BeCdH3 at its relaxed geometry.

abc: 3.8299 3.8299 3.8299
angles: 90.00 90.00 90.00
Closest atoms and distances in Å follow each position.
Space group Pm-3m (No. 221)
Asymmetric unit:
Be: 0.0000 0.0000 0.0000 [1 per cell]  12 H 2.71
Cd: 0.5000 0.5000 0.5000 [1 per cell]  6 H 1.91
H: 0.0000 0.5000 0.5000 [3 per cell]  2 Cd 1.91

Relative energy among the computed polymorphs: 2.55 eV per formula unit


Entry 14:
DFT (PBE) results for crystalline NaPr2Ir at its relaxed geometry.

abc: 4.1869 4.1869 32.1320
angles: 90.00 90.00 120.00
Closest atoms and distances in Å follow each position.
Space group R-3m (No. 166, hexagonal axes)
Asymmetric unit:
Na: 0.0000 0.0000 0.0000 [3 per cell]  2 Pr 3.85, 6 Na 4.19
Pr: 0.0000 0.0000 0.1199 [6 per cell]  3 Ir 2.85
Ir: 0.0000 0.0000 0.5000 [3 per cell]  6 Pr 2.85

DFT formation energy: -5.837 kcal/mol of atoms


Entry 15:
DFT (PBE) results for crystalline La3MgO at its relaxed geometry.

abc: 14.0475 3.6638 12.5099
angles: 90.00 101.99 90.00
Closest atoms and distances in Å follow each position.
Space group C2/m (No. 12)
Asymmetric unit:
La: 0.1024 0.0000 0.1460 [4 per cell]  1 O 2.31
La: 0.1611 0.0000 0.8619 [4 per cell]  2 O 2.37
La: 0.1806 0.5000 0.5937 [4 per cell]  1 O 2.37
Mg: 0.0292 0.0000 0.3843 [4 per cell]  1 Mg 3.17, 5 La 3.35-3.53
O: 0.2314 0.5000 0.7867 [4 per cell]  4 La 2.31-2.37

E_form (uncorrected): -4.86 eV per formula unit
Relative energy among the computed polymorphs: 1.18 eV per formula unit


Entry 16:
DFT (PBE) results for crystalline GeAs2Br at its relaxed geometry.

abc: 6.8894 6.8894 6.8894
angles: 90.00 90.00 90.00
Closest atoms and distances in Å follow each position.
Space group Fm-3m (No. 225)
Asymmetric unit:
Ge: 0.0000 0.0000 0.0000 [4 per cell]  8 As 2.98
As: 0.2500 0.2500 0.2500 [8 per cell]  4 Ge 2.98, 4 Br 2.98
Br: 0.0000 0.0000 0.5000 [4 per cell]  8 As 2.98

E_form (uncorrected): 2.06 eV per formula unit
Relative energy among the computed polymorphs: 0.71 eV per formula unit


Entry 17:
DFT (PBE) results for crystalline LiNbRu2 at its relaxed geometry.

abc: 4.2718 4.2718 3.1760
angles: 90.00 90.00 90.00
Closest atoms and distances in Å follow each position.
Space group P4/mmm (No. 123)
Asymmetric unit:
Li: 0.0000 0.0000 0.0000 [1 per cell]  8 Ru 2.66
Nb: 0.5000 0.5000 0.0000 [1 per cell]  8 Ru 2.66
Ru: 0.0000 0.5000 0.5000 [2 per cell]  4 Nb 2.66, 4 Li 2.66

DFT formation energy: -0.314 kcal/mol of atoms


Entry 18:
DFT (PBE) results for crystalline U2MnW at its relaxed geometry.

abc: 4.4837 4.4837 12.8549
angles: 90.00 90.00 120.00
Closest atoms and distances in Å follow each position.
Space group R-3m (No. 166, hexagonal axes)
Asymmetric unit:
U: 0.0000 0.0000 0.2408 [6 per cell]  3 Mn 2.76, 3 W 2.85
Mn: 0.0000 0.0000 0.5000 [3 per cell]  6 U 2.76
W: 0.0000 0.0000 0.0000 [3 per cell]  8 U 2.85-3.09

DFT formation energy: 11.312 kcal/mol of atoms


Entry 19:
DFT (PBE) results for crystalline PbWS2N at its relaxed geometry.

abc: 4.9150 4.9150 3.8755
angles: 90.00 90.00 90.00
Closest atoms and distances in Å follow each position.
Space group P4/mmm (No. 123)
Asymmetric unit:
Pb: 0.0000 0.0000 0.0000 [1 per cell]  8 S 3.13, 4 N 3.48
W: 0.5000 0.5000 0.5000 [1 per cell]  2 N 1.94
S: 0.0000 0.5000 0.5000 [2 per cell]  2 W 2.46
N: 0.5000 0.5000 0.0000 [1 per cell]  2 W 1.94

E_form (uncorrected): -0.77 eV per formula unit


Entry 20:
DFT (PBE) results for crystalline P2RuSe at its relaxed geometry.

abc: 8.2039 3.1970 5.0435
angles: 90.00 103.68 90.00
Closest atoms and distances in Å follow each position.
Space group C2/m (No. 12)
Asymmetric unit:
P: 0.2365 0.0000 0.1765 [4 per cell]  2 P 2.44, 3 Ru 2.51-2.52
Ru: 0.0000 0.5000 0.0000 [2 per cell]  6 P 2.51-2.52
Se: 0.0000 0.0000 0.5000 [2 per cell]  6 P 2.82-2.87, 4 Ru 2.99

E_form (uncorrected): 1.07 eV per formula unit